A relaxed structure of HoLu2Hg. Source: OQMD via LeMat-Bulk, functional PBE-GGA.

```
HoLu2Hg
1.0
-4.212 3.937 3.550
-2.372 -5.377 -3.362
0.788 -3.040 4.306
Hg Ho Lu
2 2 4
Direct
0.164 0.836 0.250
0.836 0.164 0.750
0.674 0.326 0.250
0.326 0.674 0.750
0.160 0.328 0.250
0.672 0.840 0.250
0.328 0.160 0.750
0.840 0.672 0.750
```

Output
Formation enthalpy at 0 K ... -0.165 eV per atom
Distance to the lowest polymorph of the same formula ... 0 meV per atom